No. 1
Here is crystalline CoHgSb2 at its relaxed geometry from the Alexandria database. Energies are from PBE. Values from VASP.

Summary:
Formation energy from raw total energies in eV per atom: 0.522
Space group: Cmmm

Geometry as Quantum ESPRESSO input:
```
&SYSTEM
  ibrav = 0, nat = 8, ntyp = 3
/
ATOMIC_SPECIES
Co 58.93 Co.upf
Hg 200.59 Hg.upf
Sb 121.76 Sb.upf
CELL_PARAMETERS angstrom
6.117 0.000 0.000
0.000 7.972 0.000
0.000 0.000 3.575
ATOMIC_POSITIONS angstrom
Co 0.000 0.000 0.000
Co 3.058 3.986 0.000
Hg 0.000 3.986 0.000
Hg 3.058 0.000 0.000
Sb 1.529 1.993 1.787
Sb 1.529 5.979 1.787
Sb 4.588 1.993 1.787
Sb 4.588 5.979 1.787
```

=====

No. 2
Here is crystalline Mg3Sc2Pb4 at its relaxed geometry from the Alexandria database. Energies are from PBE. Values from VASP.

Summary:
Space group: C2/m
Energy relative to the elements in kJ per mole of atoms: -12

Geometry as Quantum ESPRESSO input:
```
&SYSTEM
  ibrav = 0, nat = 9, ntyp = 3
/
ATOMIC_SPECIES
Mg 24.30 Mg.upf
Sc 44.96 Sc.upf
Pb 207.20 Pb.upf
CELL_PARAMETERS angstrom
4.112 -2.570 0.000
4.112 2.570 0.000
-1.131 0.000 10.746
ATOMIC_POSITIONS angstrom
Mg 0.000 0.000 0.000
Mg 2.109 0.000 5.989
Mg 4.985 0.000 4.756
Sc 2.442 0.000 2.452
Sc 4.651 0.000 8.294
Pb -0.345 0.000 3.683
Pb 1.787 0.000 9.598
Pb 5.306 0.000 1.148
Pb 7.438 0.000 7.063
```

=====

No. 3
Here is crystalline Nd3Pb4S8 at its relaxed geometry from the Alexandria database. Energies are from PBE. Values from VASP.

Summary:
Formation energy from raw total energies in eV per atom: -1.162
Space group: C2/m

Geometry as Quantum ESPRESSO input:
```
&SYSTEM
  ibrav = 0, nat = 15, ntyp = 3
/
ATOMIC_SPECIES
Nd 144.24 Nd.upf
Pb 207.20 Pb.upf
S 32.06 S.upf
CELL_PARAMETERS angstrom
5.861 -5.866 0.000
5.861 5.866 0.000
-5.826 0.000 5.894
ATOMIC_POSITIONS angstrom
Nd 0.000 0.000 0.000
Nd 0.017 2.933 2.947
Nd 0.017 -2.933 2.947
Pb 2.930 2.933 0.000
Pb 2.930 -2.933 0.000
Pb 5.861 0.000 0.000
Pb 2.947 0.000 2.947
S -2.989 0.000 5.893
S 0.003 0.000 2.894
S 5.861 2.980 0.000
S 2.947 2.957 2.947
S 2.947 -2.957 2.947
S 5.861 -2.980 0.000
S 5.891 0.000 3.000
S 8.883 0.000 0.001
```

=====

For reference, size of the total moment by record: 0.24; 0.00; 0.00 μB per atom.